# 1
AcPm2Nd4 | PBE-GGA | optimized geometry

Results
- energy relative to the lowest polymorph listed for this composition (meV/atom) = 13

Cell: 4.6770 4.6770 12.4141 Å, 100.86 100.86 90.00°
Last column: nearest neighbours and their distance in Å.
Positions (direct):
Pm 0.3955 0.3955 0.7910  4 Nd 3.43
Pm 0.6045 0.6045 0.2090  4 Nd 3.43
Nd 0.8581 0.8581 0.7162  1 Ac 3.40, 4 Pm 3.43, 4 Nd 3.49
Nd 0.1419 0.1419 0.2838  1 Ac 3.40, 4 Pm 3.43, 4 Nd 3.49
Nd 0.7500 0.2500 0.5000  8 Nd 3.31-3.49
Nd 0.2500 0.7500 0.5000  8 Nd 3.31-3.49
Ac 0.0000 0.0000 0.0000  2 Nd 3.40

---

# 2
Li3Pr2Cu12Ag | PBE-GGA | optimized geometry

Cell: 9.9817 9.9817 9.9817 Å, 35.74 35.74 35.74°
Last column: nearest neighbours and their distance in Å.
Positions (direct):
Cu 0.5862 0.1984 0.5862  2 Li 2.33, 4 Cu 2.38-2.48
Cu 0.1211 0.1211 0.5537  4 Cu 2.48-2.65, 1 Ag 2.77, 1 Li 2.77
Cu 0.8789 0.4463 0.8789  4 Cu 2.48-2.65, 1 Ag 2.77, 1 Li 2.77
Cu 0.5862 0.5862 0.1984  2 Li 2.33, 4 Cu 2.38-2.48
Cu 0.1984 0.5862 0.5862  2 Li 2.33, 4 Cu 2.38-2.48
Cu 0.1211 0.5537 0.1211  4 Cu 2.48-2.65, 1 Ag 2.77, 1 Li 2.77
Cu 0.4138 0.8016 0.4138  2 Li 2.33, 4 Cu 2.38-2.48
Cu 0.5537 0.1211 0.1211  4 Cu 2.48-2.65, 1 Ag 2.77, 1 Li 2.77
Cu 0.4463 0.8789 0.8789  4 Cu 2.48-2.65, 1 Ag 2.77, 1 Li 2.77
Cu 0.4138 0.4138 0.8016  2 Li 2.33, 4 Cu 2.38-2.48
Cu 0.8016 0.4138 0.4138  2 Li 2.33, 4 Cu 2.38-2.48
Cu 0.8789 0.8789 0.4463  4 Cu 2.48-2.65, 1 Ag 2.77, 1 Li 2.77
Pr 0.3610 0.3610 0.3610  12 Cu 3.02-3.27
Pr 0.6390 0.6390 0.6390  12 Cu 3.02-3.27
Li 0.0000 0.5000 0.0000  4 Cu 2.33
Li 0.5000 0.0000 0.0000  4 Cu 2.33
Li 0.0000 0.0000 0.5000  4 Cu 2.33
Ag 0.0000 0.0000 0.0000  6 Cu 2.77

---

# 3
Ca2AcAg | PBE-GGA | optimized geometry

Results
- energy relative to the lowest polymorph listed for this composition (meV/atom) = 218

Cell: 3.8852 3.8852 11.8351 Å, 80.55 80.55 60.00°
Last column: nearest neighbours and their distance in Å.
Positions (direct):
Ag 0.5000 0.5000 0.5000  6 Ca 3.04
Ca 0.8924 0.8924 0.3229  3 Ag 3.04
Ca 0.1076 0.1076 0.6771  3 Ag 3.04
Ac 0.0000 0.0000 0.0000  2 Ca 3.75, 6 Ac 3.89

---

# 4
CeTmPu4 | PBE-GGA | optimized geometry

Cell: 6.1265 6.1265 6.1265 Å, 60.00 60.00 60.00°
Last column: nearest neighbours and their distance in Å.
Positions (direct):
Pu 0.1264 0.6245 0.6245  6 Pu 3.05-3.08
Pu 0.6245 0.6245 0.6245  6 Pu 3.05-3.08
Pu 0.6245 0.1264 0.6245  6 Pu 3.05-3.08
Pu 0.6245 0.6245 0.1264  6 Pu 3.05-3.08
Ce 0.2500 0.2500 0.2500  12 Pu 3.59, 4 Tm 3.75
Tm 0.0000 0.0000 0.0000  12 Pu 3.59, 4 Ce 3.75

---

Number 1: E -4.452 eV per atom, magnetization 0.000 μB/atom. Number 2: E -3.592 eV per atom, magnetization 0.000 μB/atom. Number 3: E -2.667 eV per atom, magnetization 0.000 μB/atom. Number 4: E -11.046 eV per atom, magnetization 3.832 μB/atom.